Material: KHfSeN2
Method: DFT, PBE
State: relaxed

```
KHfSeN2
1.0
4.1523 0.0000 0.0000
0.0000 4.1523 0.0000
0.0000 0.0000 5.3506
K Hf Se N
1 1 1 2
Cartesian
0.0000 0.0000 0.0000 K
2.0761 2.0761 2.6753 Hf
0.0000 0.0000 2.6753 Se
0.0000 2.0761 0.0000 N
2.0761 0.0000 0.0000 N
```

Values from the calculation:
total DFT energy (no corrections) = -4.160 eV per atom
distance to the lowest polymorph of the same formula = 2226.3 meV/atom
density of states at the Fermi level = 2.97 states/eV/f.u.
energy relative to the elements, uncorrected = 200.41 kJ per mole of atoms